1.
The following is a DFT calculation (PBE) of a relaxed structure of MgAuS3.

Unit cell a=4.8344 b=4.8344 c=4.8344 alpha=90.00 beta=90.00 gamma=90.00
Atoms (fractional coordinates):
S: 0.0000 0.5000 0.0000
S: 0.0000 0.0000 0.5000
S: 0.5000 0.0000 0.0000
Au: 0.0000 0.0000 0.0000
Mg: 0.5000 0.5000 0.5000

Values from the calculation:
- energy relative to the lowest polymorph listed for this composition (kJ per mole of atoms) = 0.0
- formation energy (no corrections) (meV/atom) = 346
- raw total energy (eV for the cell shown) = -15.522

2.
The following is a DFT calculation (PBE) of a relaxed structure of Mg3AuS.

Unit cell a=4.7520 b=4.7520 c=4.7520 alpha=90.00 beta=90.00 gamma=90.00
Atoms (fractional coordinates):
S: 0.0000 0.0000 0.0000
Au: 0.5000 0.5000 0.5000
Mg: 0.0000 0.5000 0.0000
Mg: 0.0000 0.0000 0.5000
Mg: 0.5000 0.0000 0.0000

Values from the calculation:
- energy relative to the lowest polymorph listed for this composition (kJ per mole of atoms) = 0.0
- formation energy (no corrections) (meV/atom) = -304
- raw total energy (eV for the cell shown) = -13.708

3.
The following is a DFT calculation (PBE) of a relaxed structure of Mg2AuSeS.

Unit cell a=4.8474 b=4.8112 c=4.8474 alpha=90.00 beta=90.00 gamma=90.00
Atoms (fractional coordinates):
S: 0.0000 0.0000 0.0000
Au: 0.5000 0.5000 0.5000
Mg: 0.0000 0.0000 0.5000
Mg: 0.5000 0.0000 0.0000
Se: 0.0000 0.5000 0.0000

Values from the calculation:
- formation energy (no corrections) (meV/atom) = -93
- raw total energy (eV for the cell shown) = -14.542

4.
The following is a DFT calculation (PBE) of a relaxed structure of MgTlAuS2.

Unit cell a=5.6293 b=6.9744 c=6.7535 alpha=105.40 beta=90.00 gamma=90.00
Atoms (fractional coordinates):
Mg: 0.4916 0.0000 0.2500
Mg: 0.5084 0.0000 0.7500
Tl: 0.1865 0.5000 0.7500
Tl: 0.8135 0.5000 0.2500
Au: 0.0000 0.0000 0.0000
Au: 0.0000 0.0000 0.5000
S: 0.6864 0.7713 0.9424
S: 0.6864 0.2287 0.5576
S: 0.3136 0.7713 0.4424
S: 0.3136 0.2287 0.0576

Values from the calculation:
- formation energy (no corrections) (meV/atom) = -684
- raw total energy (eV for the cell shown) = -37.826